[1]
# PBEsol MgTiF5, relaxed
data_MgTiF5
_chemical_formula_sum 'Mg4 Ti4 F20'
_symmetry_space_group_name_H-M 'P 1 21/c 1'
_symmetry_Int_Tables_number 14
_symmetry_space_group_name_Hall '-P 2ybc'
_cell_length_a 5.182
_cell_length_b 9.703
_cell_length_c 7.330
_cell_angle_alpha 90.00
_cell_angle_beta 108.52
_cell_angle_gamma 90.00
loop_
_atom_site_label
_atom_site_fract_x
_atom_site_fract_y
_atom_site_fract_z
Mg1 0.022 0.014 0.228
Ti1 0.400 0.242 0.623
F1 0.105 0.112 0.609
F2 0.143 0.106 0.008
F3 0.289 0.638 0.333
F4 0.313 0.174 0.351
F5 0.349 0.597 0.779
# DOS(E_F) = 0.36 states/eV per atom
# ΔE_f (raw) = -3.35 eV per atom
# Raw total energy = -6.162 eV per atom
# Magnetic moment = 4.00 Bohr magnetons per cell

[2]
# PBEsol CoIrRh, relaxed
data_CoIrRh
_chemical_formula_sum 'Co1 Ir1 Rh1'
_symmetry_space_group_name_H-M 'P 3 m 1'
_symmetry_Int_Tables_number 156
_symmetry_space_group_name_Hall 'P 3 -2"'
_cell_length_a 2.6469
_cell_length_b 2.6469
_cell_length_c 6.3215
_cell_angle_alpha 90.00
_cell_angle_beta 90.00
_cell_angle_gamma 120.00
loop_
_atom_site_label
_atom_site_fract_x
_atom_site_fract_y
_atom_site_fract_z
Co1 0.0000 0.0000 0.0000
Ir1 0.6667 0.3333 0.6778
Rh1 0.3333 0.6667 0.3234
# DOS(E_F) = 1.23 states/eV per atom
# Raw total energy = -8.522 eV per atom
# Magnetic moment = 1.68 Bohr magnetons per cell

[3]
# PBEsol Be2CuPb, relaxed
data_Be2CuPb
_chemical_formula_sum 'Be4 Cu2 Pb2'
_symmetry_space_group_name_H-M 'C 1 2/m 1'
_symmetry_Int_Tables_number 12
_symmetry_space_group_name_Hall '-C 2y'
_cell_length_a 5.138
_cell_length_b 8.440
_cell_length_c 3.248
_cell_angle_alpha 90.00
_cell_angle_beta 119.29
_cell_angle_gamma 90.00
loop_
_atom_site_label
_atom_site_fract_x
_atom_site_fract_y
_atom_site_fract_z
Be1 0.250 0.250 0.000
Cu1 0.000 0.000 0.000
Pb1 0.000 0.500 0.000
# DOS(E_F) = 0.27 states/eV per atom
# Raw total energy = -3.420 eV per atom
# Magnetic moment = 0.00 Bohr magnetons per cell